[1]
A plane-wave DFT calculation with PBE-GGA was carried out for an optimized crystal structure of RbCa2In2.

Values from the calculation:
Formation energy from the elements   0.02 eV/atom
D(E_F)   9.4 states/eV per cell
Total magnetization   0.0 μB per formula unit

Cell and atoms, written as POSCAR:
```
RbCa2In2
1.0
5.907 0.000 0.000
0.000 5.907 0.000
0.000 0.000 12.441
Rb Ca In
2 4 4
direct
0.000 0.000 0.000 Rb
0.500 0.500 0.500 Rb
0.000 0.000 0.345 Ca
0.000 0.000 0.655 Ca
0.500 0.500 0.155 Ca
0.500 0.500 0.845 Ca
0.000 0.500 0.250 In
0.000 0.500 0.750 In
0.500 0.000 0.250 In
0.500 0.000 0.750 In
```

[2]
A plane-wave DFT calculation with PBE-GGA was carried out for an optimized crystal structure of Rb3Ho2NpSe6.

Values from the calculation:
D(E_F)   6.3 states/eV per cell
Uncorrected energy   -64.58 eV/cell
Total magnetization   4.0 μB per formula unit

Cell and atoms, written as POSCAR:
```
Rb3Ho2NpSe6
1.0
3.696 -6.389 0.000
3.696 6.389 0.000
-2.452 0.000 7.995
Rb Ho Np Se
3 2 1 6
direct
0.000 0.000 0.000 Rb
0.333 0.667 0.000 Rb
0.667 0.333 0.000 Rb
0.166 0.834 0.500 Ho
0.834 0.166 0.500 Ho
0.500 0.500 0.500 Np
0.096 0.434 0.305 Se
0.226 0.226 0.696 Se
0.434 0.096 0.305 Se
0.566 0.904 0.695 Se
0.774 0.774 0.304 Se
0.904 0.566 0.695 Se
```

[3]
A plane-wave DFT calculation with PBE-GGA was carried out for an optimized crystal structure of PmEr3Sc7.

Values from the calculation:
Formation energy from the elements   0.29 eV/atom
D(E_F)   18.6 states/eV per cell
Total magnetization   0.0 μB per formula unit

Cell and atoms, written as POSCAR:
```
PmEr3Sc7
1.0
-2.716 5.239 5.361
2.716 -5.239 5.361
2.716 5.239 -5.361
Pm Er Sc
1 3 7
direct
0.000 0.000 0.000 Pm
0.291 0.500 0.791 Er
0.500 0.000 0.500 Er
0.709 0.500 0.209 Er
0.000 0.500 0.500 Sc
0.093 0.783 0.310 Sc
0.293 0.293 0.000 Sc
0.473 0.783 0.690 Sc
0.527 0.217 0.310 Sc
0.707 0.707 0.000 Sc
0.907 0.217 0.690 Sc
```

[4]
A plane-wave DFT calculation with PBE-GGA was carried out for an optimized crystal structure of Rb3NaH2Cl6.

Values from the calculation:
D(E_F)   0.0 states/eV per cell
Uncorrected energy   -37.39 eV/cell
Total magnetization   0.0 μB per formula unit

Cell and atoms, written as POSCAR:
```
Rb3NaH2Cl6
1.0
6.998 0.000 0.000
-3.499 6.060 0.000
0.000 0.000 8.394
Rb Na H Cl
3 1 2 6
direct
0.000 0.000 0.000 Rb
0.333 0.667 0.653 Rb
0.667 0.333 0.347 Rb
0.000 0.000 0.500 Na
0.333 0.667 0.286 H
0.667 0.333 0.714 H
0.182 0.365 0.291 Cl
0.182 0.818 0.291 Cl
0.365 0.182 0.709 Cl
0.635 0.818 0.291 Cl
0.818 0.182 0.709 Cl
0.818 0.635 0.709 Cl
```

[5]
A plane-wave DFT calculation with PBE-GGA was carried out for an optimized crystal structure of CdReSb2Te.

Values from the calculation:
D(E_F)   5.0 states/eV per cell
Uncorrected energy   -21.67 eV/cell
Total magnetization   0.0 μB per formula unit

Cell and atoms, written as POSCAR:
```
CdReSb2Te
1.0
5.073 0.000 0.000
0.000 5.073 0.000
0.000 0.000 5.866
Cd Re Sb Te
1 1 2 1
direct
0.000 0.000 0.000 Cd
0.500 0.500 0.500 Re
0.000 0.500 0.500 Sb
0.500 0.000 0.500 Sb
0.500 0.500 0.000 Te
```

[6]
A plane-wave DFT calculation with PBE-GGA was carried out for an optimized crystal structure of Al2V2H3.

Values from the calculation:
D(E_F)   7.8 states/eV per cell
Uncorrected energy   -72.40 eV/cell
Total magnetization   0.0 μB per formula unit

Cell and atoms, written as POSCAR:
```
Al2V2H3
1.0
9.174 0.000 0.000
0.000 2.962 0.000
-0.951 0.000 4.711
Al V H
4 4 6
direct
0.125 0.000 0.348 Al
0.375 0.500 0.652 Al
0.625 0.500 0.348 Al
0.875 0.000 0.652 Al
0.119 0.500 0.855 V
0.381 0.000 0.145 V
0.619 0.000 0.855 V
0.881 0.500 0.145 V
0.000 0.500 0.500 H
0.231 0.000 0.834 H
0.269 0.500 0.166 H
0.500 0.000 0.500 H
0.731 0.500 0.834 H
0.769 0.000 0.166 H
```

[7]
A plane-wave DFT calculation with PBE-GGA was carried out for an optimized crystal structure of Na2CuO2.

Values from the calculation:
D(E_F)   8.8 states/eV per cell
Uncorrected energy   -35.07 eV/cell
Total magnetization   1.0 μB per formula unit

Cell and atoms, written as POSCAR:
```
Na2CuO2
1.0
4.221 0.000 0.000
0.000 4.221 0.000
0.000 0.000 7.552
Na Cu O
4 2 4
direct
0.000 0.000 0.158 Na
0.000 0.000 0.842 Na
0.500 0.500 0.342 Na
0.500 0.500 0.658 Na
0.000 0.000 0.500 Cu
0.500 0.500 0.000 Cu
0.000 0.500 0.250 O
0.000 0.500 0.750 O
0.500 0.000 0.250 O
0.500 0.000 0.750 O
```